Entry 1:
Material: UHgPd14
Method: DFT, PBE
State: relaxed

Formation energy from the elements = -0.223 eV/atom
Space group = P4/mmm, No. 123

abc: 5.8099 5.8099 7.6805
angles: 90.00 90.00 90.00
Atoms (fractional coordinates):
Pd: 0.6201 0.6201 0.2498
Pd: 0.1299 0.1299 0.7502
Pd: 0.8750 0.8750 0.0000
Pd: 0.8750 0.3750 0.5000
Pd: 0.6201 0.1299 0.7502
Pd: 0.3750 0.8750 0.0000
Pd: 0.1299 0.6201 0.2498
Pd: 0.6201 0.1299 0.2498
Pd: 0.6201 0.6201 0.7502
Pd: 0.8750 0.3750 0.0000
Pd: 0.1299 0.6201 0.7502
Pd: 0.3750 0.8750 0.5000
Pd: 0.3750 0.3750 0.0000
Pd: 0.1299 0.1299 0.2498
Hg: 0.8750 0.8750 0.5000
U: 0.3750 0.3750 0.5000

Entry 2:
Material: U2HgPd9
Method: DFT, PBE
State: relaxed

Formation energy from the elements = -0.448 eV/atom
Space group = P4/mmm, No. 123

abc: 4.1235 4.1235 12.2582
angles: 90.00 90.00 90.00
Site moments in Bohr magnetons follow the coordinates.
Atoms (fractional coordinates):
Pd: 0.5000 0.5000 0.0000  -0.02
Pd: 0.5000 0.5000 0.3343  -0.04
Pd: 0.0000 0.5000 0.1704  -0.04
Pd: 0.5000 0.0000 0.8296  -0.04
Pd: 0.5000 0.0000 0.5000  -0.04
Pd: 0.5000 0.5000 0.6657  -0.04
Pd: 0.0000 0.5000 0.5000  -0.04
Pd: 0.0000 0.5000 0.8296  -0.04
Pd: 0.5000 0.0000 0.1704  -0.04
U: 0.0000 0.0000 0.6729  1.66
U: 0.0000 0.0000 0.3271  1.66
Hg: 0.0000 0.0000 0.0000  0.00

Entry 3:
Material: VHg2Pd9
Method: DFT, PBE
State: relaxed

Formation energy from the elements = -0.172 eV/atom
Space group = P4/mmm, No. 123

abc: 3.9739 3.9739 12.1652
angles: 90.00 90.00 90.00
Atoms (fractional coordinates):
Pd: 0.0000 0.5000 0.8488
Pd: 0.5000 0.5000 0.3238
Pd: 0.5000 0.0000 0.5000
Pd: 0.5000 0.5000 0.6762
Pd: 0.5000 0.0000 0.1512
Pd: 0.0000 0.5000 0.1512
Pd: 0.5000 0.5000 0.0000
Pd: 0.0000 0.5000 0.5000
Pd: 0.5000 0.0000 0.8488
Hg: 0.0000 0.0000 0.6704
Hg: 0.0000 0.0000 0.3296
V: 0.0000 0.0000 0.0000

Entry 4:
Material: VHgPd6
Method: DFT, PBE
State: relaxed

Formation energy from the elements = -0.222 eV/atom
Space group = P4/mmm, No. 123

abc: 3.9691 3.9691 7.9518
angles: 90.00 90.00 90.00
Atoms (fractional coordinates):
Pd: 0.5000 0.5000 0.5000
Pd: 0.0000 0.5000 0.7316
Pd: 0.5000 0.5000 0.0000
Pd: 0.0000 0.5000 0.2684
Pd: 0.5000 0.0000 0.7316
Pd: 0.5000 0.0000 0.2684
Hg: 0.0000 0.0000 0.0000
V: 0.0000 0.0000 0.5000

Entry 5:
Material: V2HgPd9
Method: DFT, PBE
State: relaxed

Formation energy from the elements = -0.223 eV/atom
Space group = P4/mmm, No. 123

abc: 3.9373 3.9373 11.9091
angles: 90.00 90.00 90.00
Site moments in Bohr magnetons follow the coordinates.
Atoms (fractional coordinates):
Pd: 0.5000 0.0000 0.5000  -0.04
Pd: 0.5000 0.0000 0.1824  -0.04
Pd: 0.5000 0.5000 0.0000  -0.01
Pd: 0.0000 0.5000 0.8176  -0.04
Pd: 0.5000 0.5000 0.3411  -0.06
Pd: 0.0000 0.5000 0.5000  -0.04
Pd: 0.5000 0.0000 0.8176  -0.04
Pd: 0.5000 0.5000 0.6589  -0.06
Pd: 0.0000 0.5000 0.1824  -0.04
V: 0.0000 0.0000 0.3311  0.57
V: 0.0000 0.0000 0.6689  0.57
Hg: 0.0000 0.0000 0.0000  -0.01

Entry 6:
Material: V3HgPd
Method: DFT, PBE
State: relaxed

E above lowest polymorph = 0.0 meV/atom
Formation energy from the elements = 1.191 eV/atom
Space group = Pm-3m, No. 221

abc: 4.6462 4.6462 4.6462
angles: 90.00 90.00 90.00
Site moments in Bohr magnetons follow the coordinates.
Atoms (fractional coordinates):
Pd: 0.0000 0.0000 0.0000  0.00
V: 0.0000 0.5000 0.0000  0.80
V: 0.5000 0.0000 0.0000  0.80
V: 0.0000 0.0000 0.5000  0.80
Hg: 0.5000 0.5000 0.5000  -0.02

Entry 7:
Material: V2HgPd
Method: DFT, PBE
State: relaxed

Formation energy from the elements = 0.551 eV/atom
Space group = I-42d, No. 122

abc: 7.2390 7.2390 5.7504
angles: 50.99 50.99 90.00
Atoms (fractional coordinates):
V: 0.5960 0.1250 0.2500
V: 0.8750 0.8460 0.7500
V: 0.1540 0.6250 0.2500
V: 0.3750 0.4040 0.7500
Pd: 0.5000 0.5000 0.0000
Pd: 0.2500 0.7500 0.5000
Hg: 0.0000 0.0000 0.0000
Hg: 0.7500 0.2500 0.5000

Entry 8:
Material: HgPd3W
Method: DFT, PBE
State: relaxed

E above lowest polymorph = 683.9 meV/atom
Formation energy from the elements = 1.765 eV/atom
Space group = Pm-3m, No. 221

abc: 4.9357 4.9357 4.9357
angles: 90.00 90.00 90.00
Site moments in Bohr magnetons follow the coordinates.
Atoms (fractional coordinates):
Pd: 0.0000 0.0000 0.5000  -0.04
Pd: 0.5000 0.0000 0.0000  0.15
Pd: 0.0000 0.5000 0.0000  0.10
Hg: 0.0000 0.0000 0.0000  0.00
W: 0.5000 0.5000 0.5000  2.88

Entry 9:
Material: Hg2Pd2W
Method: DFT, PBE
State: relaxed

E above lowest polymorph = 247.7 meV/atom
Formation energy from the elements = 0.797 eV/atom
Space group = I4/mmm, No. 139

abc: 3.7506 3.7506 7.4753
angles: 75.47 75.47 90.00
Site moments in Bohr magnetons follow the coordinates.
Atoms (fractional coordinates):
Hg: 0.7500 0.2500 0.5000  0.00
Hg: 0.2500 0.7500 0.5000  0.00
Pd: 0.4094 0.4094 0.1812  0.05
Pd: 0.5906 0.5906 0.8188  0.05
W: 0.0000 0.0000 0.0000  1.49

Entry 10:
Material: HgPd6W
Method: DFT, PBE
State: relaxed

Formation energy from the elements = -0.138 eV/atom
Space group = P4/mmm, No. 123

abc: 3.9824 3.9824 8.0424
angles: 90.00 90.00 90.00
Atoms (fractional coordinates):
Pd: 0.5000 0.5000 0.0000
Pd: 0.5000 0.5000 0.5000
Pd: 0.5000 0.0000 0.7326
Pd: 0.0000 0.5000 0.7326
Pd: 0.5000 0.0000 0.2674
Pd: 0.0000 0.5000 0.2674
W: 0.0000 0.0000 0.5000
Hg: 0.0000 0.0000 0.0000

Entry 11:
Material: HgPd3W
Method: DFT, PBE
State: relaxed

E above lowest polymorph = 0.0 meV/atom
Formation energy from the elements = 1.081 eV/atom
Space group = Pm-3m, No. 221

abc: 4.8576 4.8576 4.8576
angles: 90.00 90.00 90.00
Atoms (fractional coordinates):
Pd: 0.5000 0.0000 0.0000
Pd: 0.0000 0.5000 0.0000
Pd: 0.0000 0.0000 0.5000
W: 0.0000 0.0000 0.0000
Hg: 0.5000 0.5000 0.5000

Entry 12:
Material: Hg2Pd2W
Method: DFT, PBE
State: relaxed

E above lowest polymorph = 0.0 meV/atom
Formation energy from the elements = 0.549 eV/atom
Space group = P4/mbm, No. 127

abc: 7.3185 7.3185 3.3785
angles: 90.00 90.00 90.00
Atoms (fractional coordinates):
Hg: 0.6677 0.8323 0.5000
Hg: 0.8323 0.3323 0.5000
Hg: 0.3323 0.1677 0.5000
Hg: 0.1677 0.6677 0.5000
Pd: 0.3661 0.8661 0.0000
Pd: 0.8661 0.6339 0.0000
Pd: 0.6339 0.1339 0.0000
Pd: 0.1339 0.3661 0.0000
W: 0.5000 0.5000 0.0000
W: 0.0000 0.0000 0.0000

Entry 13:
Material: Hg3Pd12W
Method: DFT, PBE
State: relaxed

Formation energy from the elements = -0.119 eV/atom
Space group = P4/mmm, No. 123

abc: 3.9891 3.9891 16.4038
angles: 90.00 90.00 90.00
Atoms (fractional coordinates):
Pd: 0.5000 0.5000 0.2419
Pd: 0.5000 0.5000 0.0000
Pd: 0.5000 0.0000 0.3726
Pd: 0.5000 0.5000 0.7581
Pd: 0.5000 0.5000 0.5000
Pd: 0.0000 0.5000 0.3726
Pd: 0.0000 0.5000 0.8865
Pd: 0.0000 0.5000 0.1135
Pd: 0.5000 0.0000 0.6274
Pd: 0.5000 0.0000 0.8865
Pd: 0.0000 0.5000 0.6274
Pd: 0.5000 0.0000 0.1135
W: 0.0000 0.0000 0.0000
Hg: 0.0000 0.0000 0.7527
Hg: 0.0000 0.0000 0.2473
Hg: 0.0000 0.0000 0.5000

Entry 14:
Material: Y6HgPd
Method: DFT, PBE
State: relaxed

Formation energy from the elements = -0.103 eV/atom
Space group = P-1, No. 2

abc: 7.0000 7.0111 7.3475
angles: 61.60 61.68 59.99
Atoms (fractional coordinates):
Pd: 0.0000 0.0000 0.0000
Y: 0.7727 0.0460 0.7513
Y: 0.9528 0.5716 0.2485
Y: 0.5714 0.2266 0.2488
Y: 0.4286 0.7734 0.7512
Y: 0.2273 0.9540 0.2487
Y: 0.0472 0.4284 0.7515
Hg: 0.5000 0.5000 0.5000

Entry 15:
Material: Y4HgPd15
Method: DFT, PBE
State: relaxed

Formation energy from the elements = -0.698 eV/atom
Space group = P4/mmm, No. 123

abc: 4.1095 4.1095 20.6941
angles: 90.00 90.00 90.00
Atoms (fractional coordinates):
Pd: 0.5000 0.5000 0.3990
Pd: 0.5000 0.0000 0.9019
Pd: 0.0000 0.5000 0.7011
Pd: 0.5000 0.0000 0.0981
Pd: 0.5000 0.5000 0.0000
Pd: 0.5000 0.5000 0.6010
Pd: 0.5000 0.0000 0.2989
Pd: 0.5000 0.5000 0.1989
Pd: 0.5000 0.0000 0.5000
Pd: 0.0000 0.5000 0.2989
Pd: 0.0000 0.5000 0.9019
Pd: 0.5000 0.0000 0.7011
Pd: 0.0000 0.5000 0.0981
Pd: 0.0000 0.5000 0.5000
Pd: 0.5000 0.5000 0.8011
Y: 0.0000 0.0000 0.1974
Y: 0.0000 0.0000 0.8026
Y: 0.0000 0.0000 0.3994
Y: 0.0000 0.0000 0.6006
Hg: 0.0000 0.0000 0.0000

Entry 16:
Material: Y4Hg5Pd2
Method: DFT, PBE
State: relaxed

Formation energy from the elements = -0.587 eV/atom
Space group = P2/m, No. 10

abc: 3.5986 7.6645 9.6597
angles: 93.63 90.00 90.00
Atoms (fractional coordinates):
Hg: 0.0000 0.5000 0.0000
Hg: 0.0000 0.5498 0.3259
Hg: 0.0000 0.4502 0.6741
Hg: 0.0000 0.1710 0.1439
Hg: 0.0000 0.8290 0.8561
Pd: 0.0000 0.0702 0.6358
Pd: 0.0000 0.9298 0.3642
Y: 0.5000 0.2349 0.4363
Y: 0.5000 0.8211 0.1433
Y: 0.5000 0.7651 0.5637
Y: 0.5000 0.1789 0.8567

Entry 17:
Material: Y2Hg2Pd3
Method: DFT, PBE
State: relaxed

Formation energy from the elements = -0.668 eV/atom
Space group = C2/m, No. 12

abc: 4.2805 7.3100 5.3733
angles: 105.04 113.47 90.00
Atoms (fractional coordinates):
Y: 0.3725 0.2035 0.7450
Y: 0.6275 0.7965 0.2550
Pd: 0.6696 0.1995 0.3392
Pd: 0.0000 0.0000 0.0000
Pd: 0.3304 0.8005 0.6608
Hg: 0.8763 0.5719 0.7526
Hg: 0.1237 0.4281 0.2474

Entry 18:
Material: Y2HgPd4
Method: DFT, PBE
State: relaxed

Formation energy from the elements = -0.690 eV/atom
Space group = I4/mmm, No. 139

abc: 4.0780 4.0780 9.5626
angles: 102.31 102.31 90.00
Atoms (fractional coordinates):
Pd: 0.2500 0.7500 0.5000
Pd: 0.7500 0.2500 0.5000
Pd: 0.1466 0.1466 0.2932
Pd: 0.8534 0.8534 0.7068
Y: 0.6269 0.6269 0.2538
Y: 0.3731 0.3731 0.7462
Hg: 0.0000 0.0000 0.0000

Entry 19:
Material: YHg2Pd4
Method: DFT, PBE
State: relaxed

E above lowest polymorph = 751.4 meV/atom
Formation energy from the elements = 0.350 eV/atom
Space group = I4/mmm, No. 139

abc: 5.1101 5.1101 7.6706
angles: 70.54 70.54 90.00
Atoms (fractional coordinates):
Hg: 0.6104 0.6104 0.7793
Hg: 0.3896 0.3896 0.2207
Pd: 0.1899 0.1899 0.6203
Pd: 0.5000 0.0000 0.0000
Pd: 0.8101 0.8101 0.3797
Pd: 0.0000 0.5000 0.0000
Y: 0.0000 0.0000 0.0000

Entry 20:
Material: YHg3Pd7
Method: DFT, PBE
State: relaxed

Formation energy from the elements = -0.167 eV/atom
Space group = C2/m, No. 12

abc: 5.4042 7.2935 7.2935
angles: 81.83 119.47 119.47
Atoms (fractional coordinates):
Hg: 0.0000 0.2173 0.7827
Hg: 0.5000 0.0000 0.0000
Hg: 0.0000 0.7827 0.2173
Pd: 0.6752 0.9378 0.4189
Pd: 0.3248 0.5811 0.0622
Pd: 0.6184 0.7886 0.7886
Pd: 0.3816 0.2114 0.2114
Pd: 0.3248 0.0622 0.5811
Pd: 0.6752 0.4189 0.9378
Pd: 0.0000 0.5000 0.5000
Y: 0.5000 0.5000 0.5000

Entry 21:
Material: Y2HgPd
Method: DFT, PBE
State: relaxed

Formation energy from the elements = -0.314 eV/atom
Space group = I-42d, No. 122

abc: 7.8388 7.8388 6.5524
angles: 53.26 53.26 90.00
Atoms (fractional coordinates):
Pd: 0.2500 0.7500 0.5000
Pd: 0.5000 0.5000 0.0000
Hg: 0.0000 0.0000 0.0000
Hg: 0.7500 0.2500 0.5000
Y: 0.1551 0.6250 0.2500
Y: 0.5949 0.1250 0.2500
Y: 0.8750 0.8449 0.7500
Y: 0.3750 0.4051 0.7500

Entry 22:
Material: Y2HgPd3
Method: DFT, PBE
State: relaxed

Formation energy from the elements = -0.601 eV/atom
Space group = Cmcm, No. 63

abc: 5.6335 7.3616 7.3616
angles: 115.80 90.00 90.00
Atoms (fractional coordinates):
Pd: 0.9697 0.1623 0.8377
Pd: 0.9696 0.5000 0.5000
Pd: 0.4697 0.8377 0.1623
Pd: 0.9697 0.8377 0.1623
Pd: 0.4697 0.1623 0.8377
Pd: 0.4696 0.5000 0.5000
Hg: 0.2196 0.1892 0.1892
Hg: 0.7196 0.8108 0.8108
Y: 0.7197 0.4895 0.1569
Y: 0.2197 0.8431 0.5105
Y: 0.2197 0.5105 0.8431
Y: 0.7197 0.1569 0.4895

Entry 23:
Material: YHg2Pd8
Method: DFT, PBE
State: relaxed

E above lowest polymorph = 0.0 meV/atom
Formation energy from the elements = -0.376 eV/atom
Space group = C2/m, No. 12

abc: 4.1700 6.4339 7.6106
angles: 104.71 105.90 90.00
Atoms (fractional coordinates):
Pd: 0.6811 0.9112 0.3621
Pd: 0.1371 0.1829 0.2742
Pd: 0.4097 0.5398 0.8193
Pd: 0.3189 0.0888 0.6379
Pd: 0.5903 0.4602 0.1807
Pd: 0.8629 0.8171 0.7258
Pd: 0.9579 0.2795 0.9158
Pd: 0.0421 0.7205 0.0842
Hg: 0.2247 0.6481 0.4493
Hg: 0.7753 0.3519 0.5507
Y: 0.5000 0.0000 0.0000

Raw total energy values, unit eV/atom, following the record order: -5.4911 -6.2493 -4.8765 -5.2945 -5.6627 -5.3793 -5.3818 -4.0021 -3.9913 -5.6898 -4.6859 -4.2390 -4.8795 -5.6380 -5.9010 -4.0185 -4.8263 -5.5472 -3.6267 -4.1414 -4.9198 -5.4025 -4.7950.